No. 1
MoP2PbCl: optimized geometry, GGA-PBE.

```
MoP2PbCl
1.0
4.7630 0.0000 0.0000
0.0000 4.7630 0.0000
0.0000 0.0000 5.7685
Pb P Mo Cl
1 2 1 1
direct
0.5000 0.5000 0.5000
0.0000 0.5000 0.0000
0.5000 0.0000 0.0000
0.0000 0.0000 0.0000
0.0000 0.0000 0.5000
```

E_form (uncorrected) = 0.177 eV per atom
E above lowest polymorph = 0.0000 eV per atom



No. 2
MoP2PbCl: optimized geometry, GGA-PBE.

```
MoP2PbCl
1.0
-0.4947 1.0316 5.2718
3.6544 -3.8156 1.0895
3.8901 3.6274 -0.3448
Pb P Mo Cl
1 2 1 1
direct
0.0000 0.0000 0.0000
0.0000 0.5000 0.0000
0.5000 0.0000 0.0000
0.5000 0.5000 0.5000
0.0000 0.0000 0.5000
```

E_form (uncorrected) = 1.423 eV per atom
E above lowest polymorph = 1.2464 eV per atom